Here is crystalline GaSbIr2Ru at its relaxed geometry from Alexandria via LeMat-Bulk. Energies are from PBE.

Calculated volume = 23.64 Å³ per atom
VASP energy = -4.982 eV per atom

a = 4.8437 Å, b = 4.8437 Å, c = 5.0371 Å
α = 90.00°, β = 90.00°, γ = 90.00°
Last column: nearest neighbours and their distance in Å.
Space group P4/mmm (No. 123)
One atom of each set of equivalent atoms:
Ga: 0.0000 0.0000 0.0000  2 Sb 2.52
Sb: 0.0000 0.0000 0.5000  4 Ir 2.42, 2 Ga 2.52
Ir: 0.0000 0.5000 0.5000  2 Sb 2.42
Ru: 0.5000 0.5000 0.0000  4 Ga 3.43, 8 Ir 3.49



Here is crystalline BeAg2Ge at its relaxed geometry from Alexandria via LeMat-Bulk. Energies are from PBE.

Calculated volume = 17.23 Å³ per atom
Energy relative to the lowest polymorph listed for this composition = 0.071 eV per atom
VASP energy = -3.071 eV per atom

a = 3.9422 Å, b = 3.9422 Å, c = 17.7418 Å
α = 90.00°, β = 90.00°, γ = 90.00°
Last column: nearest neighbours and their distance in Å.
Space group I-42d (No. 122)
One atom of each set of equivalent atoms:
Be: 0.0000 0.0000 0.0000  4 Ag 2.61, 4 Ge 2.79
Ag: 0.2412 0.2500 0.1250  2 Be 2.61, 2 Ge 2.63, 4 Ag 2.74-2.84
Ge: 0.0000 0.0000 0.5000  4 Ag 2.63, 4 Be 2.79



Here is crystalline TaSi6Mo2 at its relaxed geometry from Alexandria via LeMat-Bulk. Energies are from PBE.

Calculated volume = 13.91 Å³ per atom
VASP energy = -7.802 eV per atom

a = 4.7087 Å, b = 8.0978 Å, c = 6.5657 Å
α = 90.00°, β = 90.00°, γ = 90.00°
Last column: nearest neighbours and their distance in Å.
Space group C222 (No. 21)
One atom of each set of equivalent atoms:
Ta: 0.0000 0.0000 0.0000  10 Si 2.60-2.73
Si: 0.0000 0.3374 0.0000  5 Si 2.56-2.75, 2 Mo 2.59, 3 Ta 2.70-2.73
Si: 0.2416 0.4179 0.3349  5 Si 2.54-2.77, 4 Mo 2.56-2.75, 1 Ta 2.60
Mo: 0.2500 0.2500 0.6654  10 Si 2.56-2.75